[1]
Density functional theory data (GGA-PBE) for crystalline Na2LiSi2 at its relaxed geometry.

Cell and atoms, written as POSCAR:
```
Na2LiSi2
1.0
3.463 0.000 0.000
0.000 3.463 0.000
1.731 1.731 10.383
Na Li Si
2 1 2
Direct
0.622 0.622 0.757
0.378 0.378 0.243
0.000 0.000 0.000
0.250 0.750 0.500
0.750 0.250 0.500
```

## Properties
Distance to the lowest polymorph of the same formula = 0.11 eV/f.u.
Electronic total energy = -2.894 eV per atom
Mass density = 1.46 g cm⁻³

---

[2]
Density functional theory data (GGA-PBE) for crystalline KCu2Rh2O6 at its relaxed geometry.

Cell and atoms, written as POSCAR:
```
KCu2Rh2O6
1.0
5.440 -0.085 -0.006
2.612 5.808 -0.483
0.044 -3.822 5.015
O Cu K Rh
6 2 1 2
Direct
0.146 0.884 0.590
0.560 0.288 0.999
0.938 0.469 0.174
0.440 0.712 0.001
0.854 0.116 0.410
0.062 0.531 0.826
0.233 0.728 0.761
0.767 0.272 0.239
0.500 0.000 0.500
0.834 0.336 0.824
0.166 0.664 0.176
```

## Properties
Electronic total energy = -5.532 eV per atom
Mass density = 5.20 g cm⁻³

---

[3]
Density functional theory data (GGA-PBE) for crystalline LiTmFe at its relaxed geometry.

Cell and atoms, written as POSCAR:
```
LiTmFe
1.0
3.832 0.000 0.000
0.000 5.026 0.056
-1.916 -1.018 6.086
Tm Li Fe
2 2 2
Direct
0.863 0.646 0.726
0.137 0.354 0.274
0.582 0.813 0.164
0.418 0.187 0.836
0.236 0.907 0.471
0.764 0.093 0.529
```

## Properties
Formation enthalpy at 0 K = 144 meV per atom
Electronic total energy = -4.805 eV per atom
Mass density = 6.55 g cm⁻³

---

[4]
Density functional theory data (GGA-PBE) for crystalline ScFe2Tc2 at its relaxed geometry.

Cell and atoms, written as POSCAR:
```
ScFe2Tc2
1.0
-4.800 -4.694 -2.599
5.338 -3.821 -2.957
0.207 -1.471 2.275
Fe Tc Sc
4 4 2
Direct
0.121 0.379 0.000
0.621 0.121 0.000
0.879 0.621 0.000
0.379 0.879 0.000
0.671 0.829 0.500
0.829 0.329 0.500
0.329 0.171 0.500
0.171 0.671 0.500
0.000 0.000 0.000
0.500 0.500 0.000
```

## Properties
Distance to the lowest polymorph of the same formula = 0.00 eV/f.u.
Formation enthalpy at 0 K = 62 meV per atom
Electronic total energy = -8.736 eV per atom
Mass density = 8.32 g cm⁻³

---

[5]
Density functional theory data (GGA-PBE) for crystalline Tb6Si2SbSe3 at its relaxed geometry.

Cell and atoms, written as POSCAR:
```
Tb6Si2SbSe3
1.0
4.176 0.000 0.000
0.000 8.389 0.325
-2.088 -2.394 8.786
Tb Si Se Sb
6 2 3 1
Direct
0.329 0.899 0.658
0.671 0.101 0.342
0.006 0.261 0.013
0.329 0.424 0.659
0.671 0.576 0.341
0.994 0.739 0.987
0.833 0.665 0.665
0.167 0.335 0.335
0.500 0.500 0.000
0.164 0.834 0.329
0.836 0.166 0.671
0.500 0.000 0.000
```

## Properties
Electronic total energy = -5.809 eV per atom
Mass density = 7.31 g cm⁻³

---

[6]
Density functional theory data (GGA-PBE) for crystalline ThP2W at its relaxed geometry.

Cell and atoms, written as POSCAR:
```
ThP2W
1.0
-3.198 -1.630 -1.679
-2.438 -2.258 2.159
-4.942 3.313 1.520
W Th P
1 1 2
Direct
0.000 0.000 0.000
0.500 0.500 0.500
0.267 0.267 0.198
0.733 0.733 0.802
```

## Properties
Formation enthalpy at 0 K = -696 meV per atom
Electronic total energy = -8.495 eV per atom
Mass density = 10.24 g cm⁻³

---

[7]
Density functional theory data (GGA-PBE) for crystalline Cs2NaCuCl5 at its relaxed geometry.

Cell and atoms, written as POSCAR:
```
Cs2NaCuCl5
1.0
4.315 0.000 0.000
-2.158 10.216 0.000
0.000 0.000 14.351
Cs Cl Na Cu
4 10 2 2
Direct
0.864 0.728 0.192
0.133 0.266 0.334
0.867 0.734 0.834
0.136 0.272 0.692
0.660 0.320 0.517
0.504 0.009 0.793
0.313 0.625 0.403
0.687 0.375 0.903
0.697 0.393 0.167
0.937 0.873 0.467
0.063 0.127 0.967
0.340 0.680 0.017
0.303 0.607 0.667
0.496 0.991 0.293
0.207 0.415 0.046
0.793 0.585 0.546
0.579 0.157 0.905
0.421 0.843 0.405
```

## Properties
Electronic total energy = -3.232 eV per atom
Mass density = 2.78 g cm⁻³

---

[8]
Density functional theory data (GGA-PBE) for crystalline La4ZrPa3P8 at its relaxed geometry.

Cell and atoms, written as POSCAR:
```
La4ZrPa3P8
1.0
-4.567 1.221 -6.586
5.478 -4.074 -4.554
-3.197 -3.552 6.548
Zr P La Pa
1 8 4 3
Direct
0.000 0.500 0.000
0.761 0.277 0.015
0.743 0.728 0.485
0.239 0.723 0.985
0.254 0.277 0.015
0.239 0.723 0.478
0.761 0.277 0.522
0.746 0.723 0.985
0.257 0.272 0.515
0.000 0.000 0.500
0.500 0.000 0.500
0.000 0.000 0.000
0.500 0.000 0.000
0.500 0.500 0.500
0.000 0.500 0.500
0.500 0.500 0.000
```

## Properties
Formation enthalpy at 0 K = -1439 meV per atom
Electronic total energy = -7.691 eV per atom
Mass density = 6.87 g cm⁻³

---

[9]
Density functional theory data (GGA-PBE) for crystalline BaAl3Au3 at its relaxed geometry.

Cell and atoms, written as POSCAR:
```
BaAl3Au3
1.0
6.963 0.000 0.000
3.481 6.030 0.000
3.481 2.010 8.020
Al Ba Au
6 2 6
Direct
0.447 0.274 0.377
0.553 0.726 0.623
0.098 0.553 0.623
0.274 0.902 0.377
0.902 0.447 0.377
0.726 0.098 0.623
0.662 0.662 0.013
0.338 0.338 0.987
0.668 0.889 0.292
0.889 0.151 0.292
0.151 0.668 0.292
0.332 0.111 0.708
0.849 0.332 0.708
0.111 0.849 0.708
```

## Properties
Distance to the lowest polymorph of the same formula = 0.31 eV/f.u.
Formation enthalpy at 0 K = -389 meV per atom
Electronic total energy = -3.673 eV per atom
Mass density = 7.98 g cm⁻³

---

[10]
Density functional theory data (GGA-PBE) for crystalline Ho3CuIr at its relaxed geometry.

Cell and atoms, written as POSCAR:
```
Ho3CuIr
1.0
-1.383 -3.239 -1.431
6.895 -1.796 -2.601
5.313 -4.820 5.765
Ir Cu Ho
2 2 6
Direct
0.364 0.658 0.741
0.864 0.213 0.302
0.363 0.001 0.875
0.363 0.780 0.170
0.863 0.608 0.023
0.364 0.176 0.108
0.864 0.375 0.760
0.363 0.382 0.415
0.863 0.785 0.408
0.863 0.964 0.661
```

## Properties
Formation enthalpy at 0 K = -408 meV per atom
Electronic total energy = -5.747 eV per atom
Mass density = 10.43 g cm⁻³

---

[11]
Density functional theory data (GGA-PBE) for crystalline Ag2Au3F8 at its relaxed geometry.

Cell and atoms, written as POSCAR:
```
Ag2Au3F8
1.0
3.819 -0.213 0.000
-0.794 12.272 0.000
0.000 0.000 9.527
Au F Ag
6 16 4
Direct
0.984 0.048 0.267
0.000 0.500 0.500
0.016 0.452 0.767
0.016 0.952 0.733
0.000 0.000 0.000
0.984 0.548 0.233
0.378 0.170 0.240
0.939 0.616 0.021
0.590 0.427 0.214
0.973 0.659 0.526
0.939 0.116 0.479
0.622 0.830 0.760
0.590 0.927 0.286
0.027 0.841 0.026
0.410 0.573 0.786
0.410 0.073 0.714
0.027 0.341 0.474
0.622 0.330 0.740
0.378 0.670 0.260
0.973 0.159 0.974
0.061 0.384 0.979
0.061 0.884 0.521
0.519 0.284 0.026
0.481 0.716 0.974
0.519 0.784 0.474
0.481 0.216 0.526
```

## Properties
Electronic total energy = -3.273 eV per atom
Mass density = 7.16 g cm⁻³

---

[12]
Density functional theory data (GGA-PBE) for crystalline Li2AgGe at its relaxed geometry.

Cell and atoms, written as POSCAR:
```
Li2AgGe
1.0
3.283 0.000 0.000
0.000 4.337 0.000
0.000 0.000 4.337
Ag Ge Li
1 1 2
Direct
0.500 0.500 0.500
0.500 0.000 0.000
0.000 0.500 0.000
0.000 0.000 0.500
```

## Properties
Formation enthalpy at 0 K = -229 meV per atom
Electronic total energy = -3.053 eV per atom
Mass density = 5.23 g cm⁻³

---

[13]
Density functional theory data (GGA-PBE) for crystalline Tb4Pr5Sm3 at its relaxed geometry.

Cell and atoms, written as POSCAR:
```
Tb4Pr5Sm3
1.0
-3.773 -4.375 1.271
1.610 -5.513 -0.436
2.468 -1.967 14.318
Pr Tb Sm
5 4 3
Direct
0.500 0.500 0.500
0.331 0.338 0.000
0.203 0.342 0.252
0.797 0.658 0.748
0.669 0.662 0.000
0.938 0.001 0.124
0.821 0.002 0.356
0.179 0.998 0.644
0.062 0.999 0.876
0.456 0.339 0.749
0.000 0.500 0.500
0.544 0.661 0.251
```

## Properties
Distance to the lowest polymorph of the same formula = 2.37 eV/f.u.
Formation enthalpy at 0 K = 211 meV per atom
Electronic total energy = -4.503 eV per atom
Mass density = 7.08 g cm⁻³

---

[14]
Density functional theory data (GGA-PBE) for crystalline Rb2BaVTe at its relaxed geometry.

Cell and atoms, written as POSCAR:
```
Rb2BaVTe
1.0
7.171 0.000 0.000
0.000 5.214 0.000
0.000 0.000 7.171
Rb Te Ba V
2 1 1 1
Direct
0.500 0.000 0.000
0.000 0.000 0.500
0.000 0.500 0.000
0.500 0.500 0.500
0.000 0.000 0.000
```

## Properties
Electronic total energy = -2.938 eV per atom
Mass density = 3.02 g cm⁻³

---

[15]
Density functional theory data (GGA-PBE) for crystalline TaTi2Ga at its relaxed geometry.

Cell and atoms, written as POSCAR:
```
TaTi2Ga
1.0
0.000 3.211 3.211
3.211 0.000 3.211
3.211 3.211 0.000
Ta Ga Ti
1 1 2
Direct
0.500 0.500 0.500
0.000 0.000 0.000
0.750 0.750 0.750
0.250 0.250 0.250
```

## Properties
Distance to the lowest polymorph of the same formula = 0.27 eV/f.u.
Formation enthalpy at 0 K = -192 meV per atom
Electronic total energy = -7.859 eV per atom
Mass density = 8.69 g cm⁻³

---

[16]
Density functional theory data (GGA-PBE) for crystalline CaPaPt4 at its relaxed geometry.

Cell and atoms, written as POSCAR:
```
CaPaPt4
1.0
5.436 0.000 0.000
2.718 4.708 0.000
2.718 1.569 4.438
Pt Pa Ca
4 1 1
Direct
0.126 0.625 0.625
0.625 0.625 0.126
0.625 0.126 0.625
0.625 0.625 0.625
0.000 0.000 0.000
0.250 0.250 0.250
```

## Properties
Distance to the lowest polymorph of the same formula = 0.00 eV/f.u.
Formation enthalpy at 0 K = -902 meV per atom
Electronic total energy = -6.845 eV per atom
Mass density = 15.37 g cm⁻³

---

[17]
Density functional theory data (GGA-PBE) for crystalline Tm3GeP2Rh9 at its relaxed geometry.

Cell and atoms, written as POSCAR:
```
Tm3GeP2Rh9
1.0
-0.069 -1.871 5.777
4.014 -2.349 -3.905
5.680 6.236 2.087
Rh Tm P Ge
9 3 2 1
Direct
0.149 0.851 0.281
0.851 0.149 0.719
0.500 0.500 0.000
0.701 0.851 0.281
0.851 0.701 0.719
0.299 0.149 0.719
0.000 0.500 0.000
0.500 0.000 0.000
0.149 0.299 0.281
0.000 0.000 0.000
0.333 0.667 0.713
0.667 0.333 0.287
0.667 0.333 0.831
0.333 0.667 0.169
0.000 0.000 0.500
```

## Properties
Formation enthalpy at 0 K = -681 meV per atom
Electronic total energy = -7.016 eV per atom
Mass density = 9.38 g cm⁻³

---

[18]
Density functional theory data (GGA-PBE) for crystalline Rb2NpSeO6 at its relaxed geometry.

Cell and atoms, written as POSCAR:
```
Rb2NpSeO6
1.0
-4.974 -2.980 0.126
1.043 -1.967 -5.356
0.543 -6.577 -0.620
Np Se O Rb
1 1 6 2
Direct
0.000 0.000 0.000
0.500 0.500 0.000
0.740 0.740 0.000
0.260 0.260 0.000
0.819 0.819 0.362
0.740 0.260 0.000
0.260 0.740 0.000
0.181 0.181 0.638
0.750 0.250 0.500
0.250 0.750 0.500
```

## Properties
Electronic total energy = -6.644 eV per atom
Mass density = 5.53 g cm⁻³

---

[19]
Density functional theory data (GGA-PBE) for crystalline Hf2IO at its relaxed geometry.

Cell and atoms, written as POSCAR:
```
Hf2IO
1.0
-0.107 -1.650 5.363
-1.535 -5.151 -1.615
4.713 -4.936 1.512
Hf I O
4 2 2
Direct
0.258 0.625 0.250
0.875 0.742 0.750
0.492 0.125 0.250
0.375 0.508 0.750
0.000 0.000 0.000
0.750 0.250 0.500
0.250 0.750 0.500
0.500 0.500 0.000
```

## Properties
Distance to the lowest polymorph of the same formula = 0.00 eV/f.u.
Electronic total energy = -7.412 eV per atom
Mass density = 9.16 g cm⁻³

---

[20]
Density functional theory data (GGA-PBE) for crystalline Pa2NbTe at its relaxed geometry.

Cell and atoms, written as POSCAR:
```
Pa2NbTe
1.0
-3.118 -0.792 2.505
0.698 -1.621 3.676
-0.203 6.122 5.001
Pa Nb Te
2 1 1
Direct
0.264 0.264 0.208
0.736 0.736 0.792
0.000 0.000 0.000
0.500 0.500 0.500
```

## Properties
Distance to the lowest polymorph of the same formula = 1.01 eV/f.u.
Electronic total energy = -7.947 eV per atom
Mass density = 10.43 g cm⁻³